# 1
This record from the Alexandria database describes a relaxed structure of Tb2U3Se8. The functional is PBE.

Properties
- space-group type = No. 65

Cell lengths 4.9563, 9.7811, 8.5471 Å; angles 124.89, 90.00, 90.00 degrees
Closest atoms and distances in Å follow each position.
Fractional coordinates of all 13 atoms:
Tb 0.5000 0.2676 0.5352  6 Se 2.88-3.10
Tb 0.5000 0.7324 0.4648  6 Se 2.88-3.10
U 0.5000 0.0000 0.0000  8 Se 2.91-2.96
U 0.0000 0.2651 0.0000  8 Se 2.91-3.06
U 0.0000 0.7349 0.0000  8 Se 2.91-3.06
Se 0.0000 0.6279 0.2558  2 Tb 2.88, 2 U 2.91
Se 0.0000 0.3721 0.7442  2 Tb 2.88, 2 U 2.91
Se 0.0000 0.1158 0.2316  4 U 2.96-3.06, 1 Se 3.25, 2 Tb 3.27
Se 0.0000 0.8842 0.7684  4 U 2.96-3.06, 1 Se 3.25, 2 Tb 3.27
Se 0.5000 0.6376 0.7539  3 U 2.91-3.03, 2 Tb 2.98-3.10
Se 0.5000 0.1163 0.7538  3 U 2.91-3.03, 2 Tb 2.97-3.10
Se 0.5000 0.8837 0.2462  3 U 2.91-3.03, 2 Tb 2.97-3.10
Se 0.5000 0.3624 0.2461  3 U 2.91-3.03, 2 Tb 2.98-3.10

=====

# 2
This record from the Alexandria database describes a relaxed structure of TbUSe3. The functional is PBE.

Properties
- space-group type = No. 62

Cell lengths 4.0734, 7.6885, 15.7903 Å; angles 90.00, 90.00, 90.00 degrees
Closest atoms and distances in Å follow each position.
Fractional coordinates of all 20 atoms:
Tb 0.2500 0.2633 0.9572  7 Se 2.89-3.03
Tb 0.2500 0.7633 0.5428  7 Se 2.89-3.03
Tb 0.7500 0.2367 0.4572  7 Se 2.89-3.03
Tb 0.7500 0.7367 0.0428  7 Se 2.89-3.03
U 0.7500 0.8666 0.7922  7 Se 2.87-3.06
U 0.2500 0.1334 0.2078  7 Se 2.87-3.06
U 0.7500 0.3666 0.7078  7 Se 2.87-3.06
U 0.2500 0.6334 0.2922  7 Se 2.87-3.06
Se 0.2500 0.3775 0.5686  3 Tb 2.90-2.99, 2 U 3.00, 1 Se 3.18
Se 0.7500 0.8513 0.2210  4 U 2.87-2.98, 1 Tb 2.95, 1 Se 3.18
Se 0.7500 0.4943 0.8916  3 Tb 2.89-3.03, 1 U 3.06
Se 0.7500 0.9943 0.6084  3 Tb 2.89-3.03, 1 U 3.06
Se 0.7500 0.6225 0.4314  3 Tb 2.90-2.99, 2 U 3.00, 1 Se 3.18
Se 0.2500 0.0057 0.3916  3 Tb 2.89-3.03, 1 U 3.06
Se 0.2500 0.8775 0.9314  3 Tb 2.90-2.99, 2 U 3.00, 1 Se 3.18
Se 0.7500 0.3513 0.2790  4 U 2.87-2.98, 1 Tb 2.95, 1 Se 3.18
Se 0.2500 0.6487 0.7210  4 U 2.87-2.98, 1 Tb 2.95, 1 Se 3.18
Se 0.2500 0.1487 0.7790  4 U 2.87-2.98, 1 Tb 2.95, 1 Se 3.18
Se 0.7500 0.1225 0.0686  3 Tb 2.90-2.99, 2 U 3.00, 1 Se 3.18
Se 0.2500 0.5057 0.1084  3 Tb 2.89-3.03, 1 U 3.06

=====

Number 1: ρ 8.1 g cm⁻³, relative energy among the computed polymorphs 23 meV/atom, formation energy (no corrections) -30.5 kcal/mol of atoms. Number 2: ρ 8.5 g cm⁻³, relative energy among the computed polymorphs 0 meV/atom, formation energy (no corrections) -34.6 kcal/mol of atoms.